No. 1
DFT (PBE) results for crystalline Tb3Er8Sc4 at its relaxed geometry.

a b c (Å): 6.571 9.093 9.093
angles (deg): 80.93 114.02 114.02
Element x y z (fractional)
Tb (0.500, 0.500, 0.000)
Tb (0.500, 0.000, 0.500)
Tb (0.500, 0.500, 0.500)
Er (0.760, 0.297, 0.297)
Er (0.000, 0.703, 0.297)
Er (0.169, 0.235, 0.235)
Er (0.500, 0.761, 0.239)
Er (0.500, 0.239, 0.761)
Er (0.831, 0.765, 0.765)
Er (0.000, 0.297, 0.703)
Er (0.240, 0.703, 0.703)
Sc (0.500, 0.000, 0.000)
Sc (0.000, 0.500, 0.000)
Sc (0.000, 0.000, 0.000)
Sc (0.000, 0.000, 0.500)

* V: 30.22 Å³ per atom
* formation energy from the elements: 0.3950 eV/atom
* crystal system: monoclinic
* SG: C2/m


No. 2
DFT (PBE) results for crystalline ZnAgPd2 at its relaxed geometry.

a b c (Å): 7.118 7.118 5.707
angles (deg): 51.42 51.42 90.00
Element x y z (fractional)
Zn (0.500, 0.500, 0.000)
Zn (0.250, 0.750, 0.500)
Pd (0.598, 0.125, 0.250)
Pd (0.152, 0.625, 0.250)
Pd (0.375, 0.402, 0.750)
Pd (0.875, 0.848, 0.750)
Ag (0.000, 0.000, 0.000)
Ag (0.750, 0.250, 0.500)

* V: 17.04 Å³ per atom
* formation energy from the elements: -0.0078 eV/atom
* crystal system: tetragonal
* SG: I-42d


- The lowest formation energy from the elements belongs to which entry?
  ZnAgPd2


- Among the records above, which one has the highest V?
  Tb3Er8Sc4


- Which of these has the lowest V?
  ZnAgPd2


- Which formula does entry 2 have?
  ZnAgPd2